[1]
DFT (PBE-GGA) results for crystalline Sr2TaGeO at its relaxed geometry.

Unit cell a=6.325 b=6.325 c=3.870 alpha=90.00 beta=90.00 gamma=90.00
Positions (direct):
Sr 0.000 0.500 0.000
Sr 0.500 0.000 0.000
Ta 0.000 0.000 0.000
Ge 0.500 0.500 0.500
O 0.000 0.000 0.500

Properties
Energy relative to the elements, uncorrected   -1.000 eV/f.u.
E   -5.158 eV/atom
Space group   P4/mmm, No. 123
Total magnetic moment   0.243 μB/atom


[2]
DFT (PBE-GGA) results for crystalline Gd2DyTa at its relaxed geometry.

Unit cell a=11.882 b=11.882 c=11.882 alpha=15.84 beta=15.84 gamma=15.84
Positions (direct):
Gd 0.083 0.083 0.083
Gd 0.917 0.917 0.917
Dy 0.500 0.500 0.500
Ta 0.000 0.000 0.000

Properties
Formation enthalpy at 0 K   0.609 eV/atom
E   -10.545 eV/atom
Space group   R-3m, No. 166
Total magnetic moment   3.643 μB/atom


[3]
DFT (PBE-GGA) results for crystalline PrFeB14 at its relaxed geometry.

Unit cell a=7.411 b=7.411 c=7.411 alpha=133.54 beta=86.99 gamma=111.33
Positions (direct):
Pr 0.380 0.130 0.250
Pr 0.620 0.870 0.750
Fe 0.000 0.000 0.500
Fe 0.000 0.500 0.000
B 0.004 0.135 0.868
B 0.030 0.203 0.330
B 0.030 0.700 0.827
B 0.080 0.666 0.413
B 0.199 0.533 0.666
B 0.218 0.499 0.397
B 0.218 0.821 0.719
B 0.233 0.865 0.368
B 0.247 0.334 0.913
B 0.368 0.533 0.834
B 0.374 0.203 0.673
B 0.374 0.700 0.170
B 0.398 0.179 0.897
B 0.398 0.501 0.219
B 0.602 0.499 0.781
B 0.602 0.821 0.103
B 0.626 0.300 0.830
B 0.626 0.797 0.327
B 0.632 0.467 0.166
B 0.753 0.666 0.087
B 0.767 0.135 0.632
B 0.782 0.179 0.281
B 0.782 0.501 0.603
B 0.801 0.467 0.334
B 0.920 0.334 0.587
B 0.970 0.300 0.173
B 0.970 0.797 0.670
B 0.996 0.865 0.132

Properties
Formation enthalpy at 0 K   -0.130 eV/atom
E   -6.800 eV/atom
Space group   Imma, No. 74
Total magnetic moment   0.186 μB/atom


[4]
DFT (PBE-GGA) results for crystalline PuTi2Tc at its relaxed geometry.

Unit cell a=3.113 b=3.113 c=7.377 alpha=90.00 beta=90.00 gamma=90.00
Positions (direct):
Pu 0.000 0.000 0.000
Ti 0.500 0.500 0.298
Ti 0.500 0.500 0.702
Tc 0.000 0.000 0.500

Properties
Formation enthalpy at 0 K   -0.167 eV/atom
E   -10.289 eV/atom
Space group   P4/mmm, No. 123
Total magnetic moment   1.316 μB/atom


[5]
DFT (PBE-GGA) results for crystalline TeRh2Br at its relaxed geometry.

Unit cell a=4.681 b=4.681 c=3.299 alpha=90.00 beta=90.00 gamma=90.00
Positions (direct):
Te 0.000 0.000 0.000
Rh 0.000 0.500 0.500
Rh 0.500 0.000 0.500
Br 0.500 0.500 0.000

Properties
Energy relative to the elements, uncorrected   1.219 eV/f.u.
E   -4.575 eV/atom
Space group   P4/mmm, No. 123
Total magnetic moment   0.000 μB/atom


[6]
DFT (PBE-GGA) results for crystalline Bi3OsPt at its relaxed geometry.

Unit cell a=5.230 b=5.230 c=5.230 alpha=90.00 beta=90.00 gamma=90.00
Positions (direct):
Bi 0.000 0.000 0.500
Bi 0.000 0.500 0.000
Bi 0.500 0.000 0.000
Os 0.000 0.000 0.000
Pt 0.500 0.500 0.500

Properties
Formation enthalpy at 0 K   0.936 eV/atom
E   -4.847 eV/atom
Space group   Pm-3m, No. 221
Total magnetic moment   0.000 μB/atom


[7]
DFT (PBE-GGA) results for crystalline CsTiBiPb2 at its relaxed geometry.

Unit cell a=5.602 b=5.602 c=5.531 alpha=90.00 beta=90.00 gamma=90.00
Positions (direct):
Cs 0.000 0.000 0.000
Ti 0.500 0.500 0.500
Bi 0.500 0.500 0.000
Pb 0.000 0.500 0.500
Pb 0.500 0.000 0.500

Properties
Formation enthalpy at 0 K   -0.070 eV/atom
E   -4.079 eV/atom
Space group   P4/mmm, No. 123
Total magnetic moment   0.000 μB/atom